A relaxed structure of Ca5Mg4In4. Source: Alexandria via LeMat-Bulk, functional PBE.

The formation energy is -3.85 eV per formula unit. Its space group is I4/m, No. 87. As for the energy: -2.400 eV per atom. The calculation puts the mass density at 3.34 g cm⁻³. The crystal system is tetragonal.

Unit cell a=4.701 b=9.256 c=9.256 alpha=86.30 beta=75.29 gamma=75.29
Element x y z (fractional)
In1 0.252 0.692 0.804
Ca1 0.633 0.663 0.071
Mg1 0.105 0.469 0.321
Ca2 0.704 0.929 0.663
Ca3 0.367 0.337 0.929
Ca4 0.000 0.000 0.000
Ca5 0.296 0.071 0.337
In2 0.944 0.804 0.308
Mg2 0.574 0.321 0.531
In3 0.748 0.308 0.196
In4 0.056 0.196 0.692
Mg3 0.895 0.531 0.679
Mg4 0.426 0.679 0.469